## Li2CdPd2 (PBE)

Data for an optimized crystal structure of Li2CdPd2.

Lattice parameters (Å, degrees): 7.6587 4.4170 5.1355 90.00 119.91 90.00
With the nearest neighbours (Å) after each atom.
Fractional coordinates of all 10 atoms:
Li1 0.0899 0.0000 0.2697  1 Li 2.40, 4 Pd 2.62-2.63
Li2 0.4101 0.5000 0.7303  1 Li 2.40, 4 Pd 2.62-2.63
Li3 0.5899 0.5000 0.2697  1 Li 2.40, 4 Pd 2.62-2.63
Li4 0.9101 0.0000 0.7303  1 Li 2.40, 4 Pd 2.62-2.63
Cd1 0.0000 0.5000 0.5000  6 Li 2.75, 8 Pd 2.85-3.02
Cd2 0.5000 0.0000 0.5000  6 Li 2.75, 8 Pd 2.85-3.02
Pd1 0.2131 0.5000 0.1393  4 Li 2.62-2.63, 3 Pd 2.84, 1 Cd 2.85
Pd2 0.2869 0.0000 0.8607  4 Li 2.62-2.63, 3 Pd 2.84, 1 Cd 2.85
Pd3 0.7131 0.0000 0.1393  4 Li 2.62-2.63, 3 Pd 2.84, 1 Cd 2.85
Pd4 0.7869 0.5000 0.8607  4 Li 2.62-2.63, 3 Pd 2.84, 1 Cd 2.85

Computed properties:
- calculated density (Mg/m³) = 7.5
- calculated formation energy (eV/atom) = -0.399
- magnetic moment (μB per atom) = 0.00
- relative energy among the computed polymorphs (eV per atom) = 0.000
- symmetry = C2/m
- total energy (eV/atom) = -3.425
- N(E_F) (states/eV per cell) = 3.93